Entry from Alexandria via LeMat-Bulk: a geometry-optimized Ba2Li4Ge structure (PBE).

```
Ba2Li4Ge
1.0
-0.455 -1.946 4.623
5.010 -0.407 0.322
2.728 7.197 6.041
Ba Li Ge
2 4 1
Direct
0.658 0.658 0.685
0.342 0.342 0.315
0.864 0.864 0.271
0.500 0.000 0.000
0.136 0.136 0.729
0.000 0.500 0.000
0.000 0.000 0.000
```

For the spin magnetization, the calculation gives 0.00 μB per cell. For the uncorrected energy, the calculation gives -2.38 eV/atom. The crystal system is tetragonal. The formation energy comes out at -78.7 meV/atom. As for the space group: I4/mmm, No. 139.

---

Entry from Alexandria via LeMat-Bulk: a geometry-optimized Er6Tc2Hg structure (PBE).

```
Er6Tc2Hg
1.0
-1.236 7.671 -3.232
-5.936 -1.962 5.633
7.277 -0.489 4.199
Er Tc Hg
12 4 2
Direct
0.705 0.386 0.681
0.791 0.236 0.027
0.209 0.236 0.445
0.209 0.764 0.973
0.093 0.282 0.812
0.470 0.282 0.188
0.530 0.718 0.812
0.295 0.614 0.319
0.907 0.718 0.188
0.705 0.024 0.319
0.791 0.764 0.555
0.295 0.976 0.681
0.367 0.000 0.367
0.500 0.617 0.117
0.633 0.000 0.633
0.500 0.383 0.883
0.000 0.500 0.500
0.000 0.000 0.000
```

For the spin magnetization, the calculation gives 0.00 μB per cell. For the uncorrected energy, the calculation gives -5.57 eV/atom. The crystal system is orthorhombic. The formation energy comes out at -192.0 meV/atom. As for the space group: Immm, No. 71.

---

Entry from Alexandria via LeMat-Bulk: a geometry-optimized Na5In5Au2 structure (PBE).

```
Na5In5Au2
1.0
-2.380 4.281 -1.368
-4.328 2.801 6.845
3.882 6.224 3.272
In Na Au
5 5 2
Direct
0.765 0.331 0.139
0.235 0.669 0.861
0.941 0.741 0.377
0.059 0.259 0.623
0.000 0.000 0.000
0.681 0.968 0.669
0.319 0.032 0.331
0.411 0.270 0.907
0.500 0.500 0.500
0.589 0.730 0.093
0.157 0.443 0.243
0.843 0.557 0.757
```

For the spin magnetization, the calculation gives 0.00 μB per cell. For the uncorrected energy, the calculation gives -2.44 eV/atom. The crystal system is monoclinic. The formation energy comes out at -199.4 meV/atom. As for the space group: C2/m, No. 12.

---

Entry from Alexandria via LeMat-Bulk: a geometry-optimized GaSi3Ni10 structure (PBE).

```
GaSi3Ni10
1.0
-6.207 -1.672 -4.546
-3.588 -6.978 0.647
-7.193 -0.448 3.169
Ni Si Ga
20 6 2
Direct
0.000 0.655 0.000
0.375 0.875 0.375
0.000 0.345 0.000
0.375 0.375 0.875
0.345 0.000 0.000
0.125 0.625 0.625
0.875 0.375 0.375
0.000 0.000 0.345
0.000 0.000 0.655
0.375 0.375 0.375
0.655 0.000 0.345
0.625 0.625 0.625
0.625 0.625 0.125
0.655 0.345 0.000
0.000 0.655 0.345
0.000 0.345 0.655
0.655 0.000 0.000
0.345 0.655 0.000
0.345 0.000 0.655
0.625 0.125 0.625
0.274 0.726 0.726
0.726 0.726 0.274
0.726 0.274 0.726
0.274 0.726 0.274
0.726 0.274 0.274
0.274 0.274 0.726
0.750 0.750 0.750
0.250 0.250 0.250
```

For the spin magnetization, the calculation gives 0.00 μB per cell. For the uncorrected energy, the calculation gives -5.77 eV/atom. The crystal system is cubic. As for the space group: Fm-3m, No. 225. The uncorrected formation energy is -265 meV/atom.

---

Entry from Alexandria via LeMat-Bulk: a geometry-optimized KLi2ZnCd structure (PBE).

```
KLi2ZnCd
1.0
-3.224 -0.786 -4.084
4.141 -1.094 -3.058
-0.380 -4.935 1.250
Zn Li K Cd
1 2 1 1
Direct
0.000 0.000 0.000
0.500 0.000 0.000
0.000 0.500 0.000
0.500 0.500 0.500
0.000 0.000 0.500
```

For the spin magnetization, the calculation gives 0.00 μB per cell. For the uncorrected energy, the calculation gives -1.38 eV/atom. The crystal system is tetragonal. The formation energy comes out at 39.3 meV/atom. As for the space group: P4/mmm, No. 123.

---

Entry from Alexandria via LeMat-Bulk: a geometry-optimized NaAc3Er3Te8 structure (PBE).

```
NaAc3Er3Te8
1.0
8.973 0.000 0.000
-4.486 7.771 -0.028
0.000 -5.154 7.485
Er Na Te Ac
3 1 8 3
Direct
0.500 0.000 0.500
0.000 0.500 0.500
0.500 0.500 0.500
0.000 0.000 0.500
0.741 0.482 0.722
0.253 0.981 0.735
0.747 0.494 0.266
0.728 0.981 0.735
0.747 0.019 0.265
0.259 0.518 0.278
0.272 0.019 0.265
0.253 0.506 0.734
0.000 0.000 0.000
0.500 0.500 0.000
0.000 0.500 0.000
```

For the spin magnetization, the calculation gives 0.00 μB per cell. For the uncorrected energy, the calculation gives -4.88 eV/atom. The crystal system is trigonal. As for the space group: R-3m, No. 166. The uncorrected formation energy is -1380 meV/atom.

---

Entry from Alexandria via LeMat-Bulk: a geometry-optimized Nb2TlPb structure (PBE).

```
Nb2TlPb
1.0
0.000 3.468 3.468
3.468 0.000 3.468
3.468 3.468 0.000
Nb Pb Tl
2 1 1
Direct
0.250 0.250 0.250
0.750 0.750 0.750
0.500 0.500 0.500
0.000 0.000 0.000
```

For the spin magnetization, the calculation gives 0.00 μB per cell. For the uncorrected energy, the calculation gives -5.99 eV/atom. The crystal system is cubic. The formation energy comes out at 559.9 meV/atom. As for the space group: Fm-3m, No. 225.

---

Entry from Alexandria via LeMat-Bulk: a geometry-optimized YTc2HW structure (PBE).

```
YTc2HW
1.0
4.930 0.000 0.000
0.000 3.339 0.000
0.000 0.000 4.930
Tc H Y W
2 1 1 1
Direct
0.500 0.000 0.000
0.000 0.000 0.500
0.000 0.500 0.000
0.000 0.000 0.000
0.500 0.500 0.500
```

For the spin magnetization, the calculation gives 0.00 μB per cell. For the uncorrected energy, the calculation gives -7.13 eV/atom. The crystal system is tetragonal. As for the space group: P4/mmm, No. 123.